(1)
DFT (PBE) results for a relaxed P3Pb4O12 crystal.

Calculated values
DOS at the Fermi energy (states/eV/f.u.): 6.72
E_form (uncorrected) (eV/atom): -1.8609

Cell: 9.197 9.197 9.197 Å, 109.47 109.47 109.47°
Atoms (fractional coordinates):
P: 0.125 0.875 0.250
P: 0.375 0.625 0.750
P: 0.875 0.250 0.125
P: 0.625 0.750 0.375
P: 0.250 0.125 0.875
P: 0.750 0.375 0.625
Pb: 0.347 0.347 0.347
Pb: 0.153 0.500 0.000
Pb: 0.000 0.153 0.500
Pb: 0.847 0.847 0.847
Pb: 0.500 0.000 0.153
Pb: 0.653 0.500 0.000
Pb: 0.500 0.000 0.653
Pb: 0.000 0.653 0.500
O: 0.317 0.162 0.070
O: 0.183 0.253 0.845
O: 0.908 0.338 0.655
O: 0.162 0.070 0.317
O: 0.817 0.570 0.662
O: 0.592 0.247 0.430
O: 0.253 0.845 0.183
O: 0.683 0.345 0.753
O: 0.338 0.655 0.908
O: 0.408 0.155 0.838
O: 0.247 0.430 0.592
O: 0.092 0.930 0.747
O: 0.070 0.317 0.162
O: 0.662 0.817 0.570
O: 0.655 0.908 0.338
O: 0.838 0.408 0.155
O: 0.430 0.592 0.247
O: 0.747 0.092 0.930
O: 0.845 0.183 0.253
O: 0.753 0.683 0.345
O: 0.570 0.662 0.817
O: 0.345 0.753 0.683
O: 0.930 0.747 0.092
O: 0.155 0.838 0.408

(2)
DFT (PBE) results for a relaxed LiCe2Zr crystal.

Calculated values
Calculated formation energy (kJ/mol of atoms): 13.40
DOS at the Fermi energy (states/eV/f.u.): 9.04
Energy above the most stable polymorph in this dataset (meV/atom): 0.0

Cell: 3.101 3.101 10.396 Å, 90.00 90.00 90.00°
Atoms (fractional coordinates):
Zr: 0.500 0.500 0.500
Ce: 0.000 0.000 0.744
Ce: 0.000 0.000 0.256
Li: 0.500 0.500 0.000

(3)
DFT (PBE) results for a relaxed Ir2I2Br7 crystal.

Calculated values
DOS at the Fermi energy (states/eV/f.u.): 6.43
E_form (uncorrected) (eV/atom): 0.0255

Cell: 9.583 6.952 6.952 Å, 66.13 93.08 93.08°
Atoms (fractional coordinates):
Ir: 0.987 0.762 0.762
Ir: 0.013 0.238 0.238
I: 0.500 0.823 0.177
I: 0.500 0.177 0.823
Br: 0.161 0.940 0.483
Br: 0.839 0.517 0.060
Br: 0.839 0.060 0.517
Br: 0.161 0.483 0.940
Br: 0.000 0.000 0.000
Br: 0.870 0.572 0.572
Br: 0.130 0.428 0.428

(4)
DFT (PBE) results for a relaxed Tb6SnS5 crystal.

Calculated values
DOS at the Fermi energy (states/eV/f.u.): 4.12
E_form (uncorrected) (eV/atom): -1.7640

Cell: 6.979 6.952 6.953 Å, 60.00 80.42 70.55°
Atoms (fractional coordinates):
S: 0.500 0.162 0.676
S: 0.000 0.332 0.336
S: 0.500 0.500 0.000
S: 0.000 0.668 0.664
S: 0.500 0.838 0.324
Tb: 0.739 0.087 0.346
Tb: 0.261 0.567 0.346
Tb: 0.258 0.261 0.000
Tb: 0.742 0.739 0.000
Tb: 0.739 0.433 0.654
Tb: 0.261 0.913 0.654
Sn: 0.000 0.000 0.000

(5)
DFT (PBE) results for a relaxed AlHg3Pb crystal.

Calculated values
Calculated formation energy (kJ/mol of atoms): 19.11
DOS at the Fermi energy (states/eV/f.u.): 2.45

Cell: 5.228 5.228 5.228 Å, 90.00 90.00 90.00°
Atoms (fractional coordinates):
Pb: 0.500 0.500 0.500
Hg: 0.000 0.500 0.000
Hg: 0.000 0.000 0.500
Hg: 0.500 0.000 0.000
Al: 0.000 0.000 0.000

(6)
DFT (PBE) results for a relaxed Tl2SbMo crystal.

Calculated values
DOS at the Fermi energy (states/eV/f.u.): 3.03
E_form (uncorrected) (eV/atom): 0.7706
Energy above the most stable polymorph in this dataset (meV/atom): 461.5

Cell: 3.360 4.785 5.981 Å, 90.00 90.00 90.00°
Atoms (fractional coordinates):
Mo: 0.500 0.500 0.250
Sb: 0.500 0.500 0.750
Tl: 0.000 0.000 0.010
Tl: 0.000 0.000 0.490

(7)
DFT (PBE) results for a relaxed VBr3 crystal.

Calculated values
DOS at the Fermi energy (states/eV/f.u.): 5.11
E_form (uncorrected) (eV/atom): -0.7424

Cell: 3.376 10.358 10.371 Å, 120.00 90.00 90.00°
Atoms (fractional coordinates):
Br: 0.250 0.458 0.184
Br: 0.750 0.184 0.727
Br: 0.750 0.542 0.816
Br: 0.250 0.816 0.273
Br: 0.250 0.727 0.542
Br: 0.750 0.273 0.458
V: 0.250 0.333 0.666
V: 0.750 0.667 0.334

(8)
DFT (PBE) results for a relaxed TbDy2Pb3 crystal.

Calculated values
Calculated formation energy (kJ/mol of atoms): -48.38
DOS at the Fermi energy (states/eV/f.u.): 2.74
Energy above the most stable polymorph in this dataset (meV/atom): 0.0

Cell: 6.410 6.411 9.057 Å, 110.73 100.14 90.00°
Atoms (fractional coordinates):
Tb: 0.750 0.126 0.000
Tb: 0.250 0.874 0.000
Dy: 0.583 0.542 0.333
Dy: 0.083 0.792 0.333
Dy: 0.917 0.208 0.667
Dy: 0.417 0.458 0.667
Pb: 0.250 0.375 0.000
Pb: 0.750 0.625 0.000
Pb: 0.084 0.292 0.334
Pb: 0.416 0.958 0.666
Pb: 0.584 0.042 0.334
Pb: 0.916 0.708 0.666

(9)
DFT (PBE) results for a relaxed BaMnAl2Ga crystal.

Calculated values
Calculated formation energy (kJ/mol of atoms): -21.82
DOS at the Fermi energy (states/eV/f.u.): 0.99

Cell: 4.762 4.762 4.806 Å, 90.00 90.00 90.00°
Atoms (fractional coordinates):
Mn: 0.000 0.000 0.000
Ba: 0.500 0.500 0.500
Ga: 0.000 0.000 0.500
Al: 0.000 0.500 0.000
Al: 0.500 0.000 0.000

(10)
DFT (PBE) results for a relaxed CePrLuTl crystal.

Calculated values
Calculated formation energy (kJ/mol of atoms): 3.35
DOS at the Fermi energy (states/eV/f.u.): 6.60

Cell: 5.457 5.457 5.457 Å, 60.00 60.00 60.00°
Atoms (fractional coordinates):
Pr: 0.000 0.000 0.000
Tl: 0.250 0.250 0.250
Lu: 0.500 0.500 0.500
Ce: 0.750 0.750 0.750

(11)
DFT (PBE) results for a relaxed Li2ZnAu crystal.

Calculated values
Calculated formation energy (kJ/mol of atoms): -29.63
DOS at the Fermi energy (states/eV/f.u.): 1.33

Cell: 3.314 3.314 5.773 Å, 90.00 90.00 90.00°
Atoms (fractional coordinates):
Au: 0.500 0.500 0.755
Li: 0.000 0.000 0.986
Li: 0.500 0.500 0.257
Zn: 0.000 0.000 0.502

(12)
DFT (PBE) results for a relaxed HoEr12Th5 crystal.

Calculated values
Calculated formation energy (kJ/mol of atoms): 3.80
DOS at the Fermi energy (states/eV/f.u.): 27.23

Cell: 10.556 10.599 6.124 Å, 106.81 90.00 60.13°
Atoms (fractional coordinates):
Ho: 0.000 0.000 0.000
Er: 0.834 0.000 0.500
Er: 0.166 0.000 0.500
Er: 0.664 0.000 0.000
Er: 0.336 0.000 0.000
Er: 0.333 0.665 0.002
Er: 0.002 0.666 0.002
Er: 0.998 0.335 0.998
Er: 0.667 0.335 0.998
Er: 0.499 0.333 0.501
Er: 0.832 0.667 0.499
Er: 0.168 0.333 0.501
Er: 0.501 0.667 0.499
Th: 0.500 0.000 0.500
Th: 0.167 0.666 0.496
Th: 0.833 0.334 0.504
Th: 0.667 0.667 0.998
Th: 0.333 0.333 0.002

(13)
DFT (PBE) results for a relaxed Rb3GeF8 crystal.

Calculated values
DOS at the Fermi energy (states/eV/f.u.): 6.62
E_form (uncorrected) (eV/atom): -2.3190

Cell: 6.799 6.671 6.799 Å, 59.36 90.00 120.64°
Atoms (fractional coordinates):
Rb: 0.750 0.500 0.750
Rb: 0.250 0.500 0.250
Rb: 0.500 0.000 0.500
Ge: 0.000 0.000 0.000
F: 0.323 0.414 0.909
F: 0.091 0.414 0.677
F: 0.677 0.586 0.323
F: 0.909 0.586 0.091
F: 0.768 0.909 0.859
F: 0.141 0.909 0.232
F: 0.232 0.091 0.768
F: 0.859 0.091 0.141

(14)
DFT (PBE) results for a relaxed ZnTc2P2 crystal.

Calculated values
Calculated formation energy (kJ/mol of atoms): -18.74
DOS at the Fermi energy (states/eV/f.u.): 0.74
Energy above the most stable polymorph in this dataset (meV/atom): 18.9

Cell: 3.467 3.467 6.568 Å, 74.70 74.70 90.00°
Atoms (fractional coordinates):
P: 0.750 0.250 0.500
P: 0.250 0.750 0.500
Zn: 0.000 0.000 0.000
Tc: 0.380 0.380 0.240
Tc: 0.620 0.620 0.760

(15)
DFT (PBE) results for a relaxed SiGeMo2 crystal.

Calculated values
DOS at the Fermi energy (states/eV/f.u.): 3.61
E_form (uncorrected) (eV/atom): 0.4597
Energy above the most stable polymorph in this dataset (meV/atom): 446.3

Cell: 6.683 6.683 5.569 Å, 53.13 53.13 90.00°
Atoms (fractional coordinates):
Mo: 0.611 0.125 0.250
Mo: 0.139 0.625 0.250
Mo: 0.375 0.389 0.750
Mo: 0.875 0.861 0.750
Si: 0.500 0.500 0.000
Si: 0.250 0.750 0.500
Ge: 0.000 0.000 0.000
Ge: 0.750 0.250 0.500

(16)
DFT (PBE) results for a relaxed SrHgCl2 crystal.

Calculated values
DOS at the Fermi energy (states/eV/f.u.): 0.00
E_form (uncorrected) (eV/atom): -1.7988
Energy above the most stable polymorph in this dataset (meV/atom): 0.5

Cell: 11.254 11.254 11.254 Å, 22.69 22.69 22.69°
Atoms (fractional coordinates):
Sr: 0.500 0.500 0.500
Hg: 0.000 0.000 0.000
Cl: 0.876 0.876 0.876
Cl: 0.124 0.124 0.124

(17)
DFT (PBE) results for a relaxed LiZrAl4 crystal.

Calculated values
Calculated formation energy (kJ/mol of atoms): -19.51
DOS at the Fermi energy (states/eV/f.u.): 5.43

Cell: 5.335 5.335 5.335 Å, 60.00 60.00 60.00°
Atoms (fractional coordinates):
Li: 0.750 0.750 0.750
Zr: 0.000 0.000 0.000
Al: 0.876 0.375 0.375
Al: 0.375 0.375 0.876
Al: 0.375 0.876 0.375
Al: 0.375 0.375 0.375

(18)
DFT (PBE) results for a relaxed CeDyPuPa crystal.

Calculated values
Calculated formation energy (kJ/mol of atoms): 29.41
DOS at the Fermi energy (states/eV/f.u.): 11.43

Cell: 5.365 5.365 5.365 Å, 60.00 60.00 60.00°
Atoms (fractional coordinates):
Pa: 0.250 0.250 0.250
Dy: 0.750 0.750 0.750
Ce: 0.000 0.000 0.000
Pu: 0.500 0.500 0.500

(19)
DFT (PBE) results for a relaxed PuScCoIr crystal.

Calculated values
Calculated formation energy (kJ/mol of atoms): -39.31
DOS at the Fermi energy (states/eV/f.u.): 6.90

Cell: 4.655 4.655 4.655 Å, 60.00 60.00 60.00°
Atoms (fractional coordinates):
Sc: 0.000 0.000 0.000
Ir: 0.750 0.750 0.750
Co: 0.250 0.250 0.250
Pu: 0.500 0.500 0.500

(20)
DFT (PBE) results for a relaxed YTeS3 crystal.

Calculated values
DOS at the Fermi energy (states/eV/f.u.): 4.66
E_form (uncorrected) (eV/atom): -0.1704
Energy above the most stable polymorph in this dataset (meV/atom): 724.7

Cell: 5.203 5.203 5.203 Å, 90.00 90.00 90.00°
Atoms (fractional coordinates):
Y: 0.000 0.000 0.000
S: 0.000 0.500 0.000
S: 0.000 0.000 0.500
S: 0.500 0.000 0.000
Te: 0.500 0.500 0.500

(21)
DFT (PBE) results for a relaxed CdTcRu2 crystal.

Calculated values
Calculated formation energy (kJ/mol of atoms): 59.53
DOS at the Fermi energy (states/eV/f.u.): 5.96

Cell: 4.463 4.463 4.463 Å, 60.00 60.00 60.00°
Atoms (fractional coordinates):
Cd: 0.500 0.500 0.500
Ru: 0.000 0.000 0.000
Ru: 0.250 0.250 0.250
Tc: 0.750 0.750 0.750

(22)
DFT (PBE) results for a relaxed Ba2TlS crystal.

Calculated values
DOS at the Fermi energy (states/eV/f.u.): 2.85
E_form (uncorrected) (eV/atom): -0.9088
Energy above the most stable polymorph in this dataset (meV/atom): 127.7

Cell: 8.700 8.700 7.715 Å, 55.68 55.68 90.00°
Atoms (fractional coordinates):
S: 0.500 0.500 0.000
S: 0.250 0.750 0.500
Tl: 0.000 0.000 0.000
Tl: 0.750 0.250 0.500
Ba: 0.573 0.125 0.250
Ba: 0.177 0.625 0.250
Ba: 0.375 0.427 0.750
Ba: 0.875 0.823 0.750

(23)
DFT (PBE) results for a relaxed LiLa6Tm crystal.

Calculated values
Calculated formation energy (kJ/mol of atoms): 7.04
DOS at the Fermi energy (states/eV/f.u.): 12.45

Cell: 5.309 5.309 10.406 Å, 75.22 75.22 90.00°
Atoms (fractional coordinates):
Li: 0.000 0.000 0.000
La: 0.752 0.752 0.496
La: 0.618 0.118 0.764
La: 0.118 0.618 0.764
La: 0.382 0.882 0.236
La: 0.248 0.248 0.504
La: 0.882 0.382 0.236
Tm: 0.500 0.500 0.000

(24)
DFT (PBE) results for a relaxed KSn2S4 crystal.

Calculated values
E_form (uncorrected) (eV/atom): -0.5764
Energy above the most stable polymorph in this dataset (meV/atom): 0.0

Cell: 9.796 8.555 7.495 Å, 103.34 108.81 123.57°
Atoms (fractional coordinates):
K: 0.211 0.733 0.569
K: 0.912 0.980 0.982
Sn: 0.616 0.939 0.287
Sn: 0.647 0.342 0.756
Sn: 0.199 0.295 0.773
Sn: 0.633 0.447 0.302
S: 0.878 0.610 0.689
S: 0.311 0.171 0.545
S: 0.956 0.218 0.406
S: 0.430 0.056 0.121
S: 0.649 0.053 0.662
S: 0.502 0.611 0.358
S: 0.838 0.600 0.154
S: 0.468 0.694 0.895